(1)
SrPtS2 | Alexandria | meta-GGA SCAN | single point on PBEsol structure; symmetry = R-3m (166); theoretical density = 5.96 g/cm³; ΔE_f (raw) = -0.436 eV/atom
1.0
-2.6420 2.4468 -0.9232
-3.5844 -0.9563 0.2387
-2.2771 3.1557 7.3963
Sr S Pt
1 2 1
Direct
0.0000 0.0000 0.0000
0.8806 0.8806 0.3581
0.1194 0.1194 0.6419
0.5000 0.5000 0.5000



(2)
TaPtS2 | Alexandria | meta-GGA SCAN | single point on PBEsol structure; symmetry = R-3m (166); theoretical density = 10.94 g/cm³; ΔE_f (raw) = -0.687 eV/atom
1.0
-2.2944 -2.0324 -0.7254
-0.0933 -1.3144 -2.8609
3.6039 -6.9956 1.3626
S Pt Ta
2 1 1
Direct
0.9030 0.9030 0.2909
0.0970 0.0970 0.7091
0.0000 0.0000 0.0000
0.5000 0.5000 0.5000



(3)
Tc2Pt2S | Alexandria | meta-GGA SCAN | single point on PBEsol structure; symmetry = I4/mmm (139); theoretical density = 12.85 g/cm³; ΔE_f (raw) = 0.355 eV/atom
1.0
-1.0369 -3.3469 0.7497
3.4143 -1.0816 -0.1065
-0.6230 3.4013 5.7600
S Tc Pt
1 2 2
Direct
0.0000 0.0000 0.0000
0.4049 0.4049 0.8098
0.5951 0.5951 0.1902
0.2500 0.7500 0.5000
0.7500 0.2500 0.5000



(4)
TlTcPt2S | Alexandria | meta-GGA SCAN | single point on PBEsol structure; symmetry = P4/mmm (123); theoretical density = 10.03 g/cm³; ΔE_f (raw) = 1.694 eV/atom
1.0
4.8586 0.0000 0.0000
0.0000 4.9692 0.0000
0.0000 0.0000 4.9692
S Tl Tc Pt
1 1 1 2
Direct
0.5000 0.0000 0.0000
0.0000 0.0000 0.0000
0.5000 0.5000 0.5000
0.0000 0.0000 0.5000
0.0000 0.5000 0.0000



(5)
Te2Pt2S | Alexandria | meta-GGA SCAN | single point on PBEsol structure; symmetry = I4/mmm (139); theoretical density = 10.74 g/cm³; ΔE_f (raw) = 0.037 eV/atom
1.0
5.3054 0.0000 0.0000
-2.6527 4.5700 0.0225
0.0000 3.0582 4.3353
S Te Pt
1 2 2
Direct
0.0000 0.0000 0.0000
0.7500 0.5000 0.7500
0.2500 0.5000 0.2500
0.6730 0.3459 0.3270
0.3270 0.6541 0.6730



(6)
YTePtS2 | Alexandria | meta-GGA SCAN | single point on PBEsol structure; symmetry = P4/mmm (123); theoretical density = 6.90 g/cm³; ΔE_f (raw) = -0.553 eV/atom
1.0
4.6807 0.0000 0.0000
0.0000 4.6807 0.0000
0.0000 0.0000 5.2275
Y S Te Pt
1 2 1 1
Direct
0.5000 0.5000 0.5000
0.0000 0.5000 0.0000
0.5000 0.0000 0.0000
0.0000 0.0000 0.5000
0.0000 0.0000 0.0000



(7)
TlPtS2 | Alexandria | meta-GGA SCAN | single point on PBEsol structure; symmetry = I-42d (122); theoretical density = 9.53 g/cm³; ΔE_f (raw) = -0.215 eV/atom
1.0
5.9579 -0.1279 0.0000
-2.4407 5.4365 0.0000
-1.7586 -2.6543 5.0373
Tl S Pt
2 4 2
Direct
0.0000 0.0000 0.0000
0.2500 0.7500 0.5000
0.6250 0.5483 0.4233
0.1250 0.2017 0.5767
0.7983 0.3750 0.9233
0.4517 0.8750 0.0767
0.5000 0.5000 0.0000
0.7500 0.2500 0.5000



(8)
PtWS2 | Alexandria | meta-GGA SCAN | single point on PBEsol structure; symmetry = Fm-3m (225); theoretical density = 13.15 g/cm³; ΔE_f (raw) = 0.497 eV/atom
1.0
4.2935 0.0000 0.0000
2.1468 3.7183 0.0000
2.1468 1.2394 3.5056
S W Pt
2 1 1
Direct
0.2500 0.2500 0.2500
0.7500 0.7500 0.7500
0.0000 0.0000 0.0000
0.5000 0.5000 0.5000



(9)
ZnPt3S | Alexandria | meta-GGA SCAN | single point on PBEsol structure; symmetry = Pm-3m (221); theoretical density = 12.04 g/cm³; ΔE_f (raw) = 1.253 eV/atom
1.0
-0.1588 3.4195 2.9967
0.5258 -2.9646 3.4108
4.5163 0.4654 -0.2917
Zn S Pt
1 1 3
Direct
0.0000 0.0000 0.0000
0.5000 0.5000 0.5000
0.0000 0.5000 0.0000
0.0000 0.0000 0.5000
0.5000 0.0000 0.0000



(10)
ZnPtS3 | Alexandria | meta-GGA SCAN | single point on PBEsol structure; symmetry = Pm-3m (221); theoretical density = 6.57 g/cm³; ΔE_f (raw) = 1.082 eV/atom
1.0
4.4833 0.0000 0.0000
0.0000 4.4833 0.0000
0.0000 0.0000 4.4833
Zn S Pt
1 3 1
Direct
0.0000 0.0000 0.0000
0.0000 0.5000 0.0000
0.0000 0.0000 0.5000
0.5000 0.0000 0.0000
0.5000 0.5000 0.5000



(11)
SbPt2 | Alexandria | meta-GGA SCAN | single point on PBEsol structure; symmetry = Fm-3m (225); theoretical density = 14.75 g/cm³; ΔE_f (raw) = -0.174 eV/atom
1.0
-4.0350 0.0945 1.5833
-2.8369 -3.0851 -1.1095
-1.2512 -2.9472 2.9233
Pt Sb
2 1
Direct
0.2500 0.2500 0.2500
0.7500 0.7500 0.7500
0.0000 0.0000 0.0000



(12)
SbPt | Alexandria | meta-GGA SCAN | single point on PBEsol structure; symmetry = I4_1/amd (141); theoretical density = 13.83 g/cm³; ΔE_f (raw) = 0.120 eV/atom
1.0
4.0676 0.0000 0.0000
0.0000 4.0676 0.0000
-2.0338 -2.0338 4.5995
Pt Sb
2 2
Direct
0.2500 0.7500 0.5000
0.0000 0.0000 0.0000
0.7500 0.2500 0.5000
0.5000 0.5000 0.0000



(13)
SbPt2 | Alexandria | meta-GGA SCAN | single point on PBEsol structure; symmetry = P4/mmm (123); theoretical density = 14.73 g/cm³; ΔE_f (raw) = -0.297 eV/atom
1.0
-3.4769 -0.9532 -1.3789
0.2806 -3.4668 1.6888
-1.6555 1.4210 3.1921
Sb Pt
1 2
Direct
0.0000 0.0000 0.0000
0.5000 0.0000 0.5000
0.5000 0.5000 0.0000



(14)
SbPt4 | Alexandria | meta-GGA SCAN | single point on PBEsol structure; symmetry = I4/m (87); theoretical density = 18.58 g/cm³; polymorph energy (0 for the lowest one) = 0.000 eV/atom; ΔE_f (raw) = -0.022 eV/atom
1.0
4.2176 0.0000 0.0000
2.1088 4.3721 0.0000
2.1088 0.0000 4.3721
Sb Pt
1 4
Direct
0.0000 0.0000 0.0000
0.6059 0.2012 0.5871
0.8071 0.5871 0.7988
0.3941 0.7988 0.4129
0.1929 0.4129 0.2012



(15)
SbPt | Alexandria | meta-GGA SCAN | single point on PBEsol structure; symmetry = F-43m (216); theoretical density = 10.15 g/cm³; ΔE_f (raw) = -0.283 eV/atom
1.0
-1.1361 3.9014 -1.0047
-1.1503 0.9003 -3.9227
-4.0054 0.8571 -0.8620
Sb Pt
1 1
Direct
0.2500 0.2500 0.2500
0.0000 0.0000 0.0000



(16)
Sb2Pt | Alexandria | meta-GGA SCAN | single point on PBEsol structure; symmetry = Pa-3 (205); theoretical density = 10.82 g/cm³; ΔE_f (raw) = -0.627 eV/atom
1.0
6.4573 0.0000 0.0000
0.0000 6.4573 0.0000
0.0000 0.0000 6.4573
Sb Pt
8 4
Direct
0.3742 0.3742 0.3742
0.1258 0.6258 0.8742
0.6258 0.8742 0.1258
0.8742 0.1258 0.6258
0.6258 0.6258 0.6258
0.8742 0.3742 0.1258
0.3742 0.1258 0.8742
0.1258 0.8742 0.3742
0.0000 0.0000 0.0000
0.5000 0.0000 0.5000
0.0000 0.5000 0.5000
0.5000 0.5000 0.0000



(17)
SbPt5 | Alexandria | meta-GGA SCAN | single point on PBEsol structure; symmetry = Cmmm (65); theoretical density = 19.17 g/cm³; ΔE_f (raw) = -0.046 eV/atom
1.0
3.9719 0.0000 0.0000
0.0000 4.0426 0.0000
-1.9859 0.0000 5.9192
Sb Pt
1 5
Direct
0.0000 0.5000 0.0000
0.8313 0.0000 0.6626
0.1687 0.0000 0.3374
0.5000 0.0000 0.0000
0.3356 0.5000 0.6711
0.6644 0.5000 0.3289



(18)
SbPt2 | Alexandria | meta-GGA SCAN | single point on PBEsol structure; symmetry = P-3m1 (164); theoretical density = 15.18 g/cm³; ΔE_f (raw) = -0.295 eV/atom
1.0
-3.8646 0.5782 -0.4860
1.3131 -2.0074 3.1228
0.2577 3.5500 2.1736
Sb Pt
1 2
Direct
0.0000 0.0000 0.0000
0.3333 0.6667 0.3299
0.6667 0.3333 0.6701



(19)
SbPt4 | Alexandria | meta-GGA SCAN | single point on PBEsol structure; symmetry = Im-3m (229); theoretical density = 15.23 g/cm³; polymorph energy (0 for the lowest one) = 0.327 eV/atom; ΔE_f (raw) = 0.306 eV/atom
1.0
-4.7322 -1.5831 -0.6858
2.2498 -2.8834 3.4633
-0.0415 4.7859 1.5697
Pt Sb
4 1
Direct
0.0000 0.0000 0.5000
0.0000 0.5000 0.0000
0.5000 0.0000 0.0000
0.5000 0.5000 0.5000
0.0000 0.0000 0.0000



(20)
SbPt | Alexandria | meta-GGA SCAN | single point on PBEsol structure; symmetry = Cm (8); theoretical density = 12.78 g/cm³; ΔE_f (raw) = -0.216 eV/atom
1.0
-1.5029 -3.4720 0.9229
4.9856 -0.4453 -1.7724
0.8473 1.3386 6.4156
Pt Sb
3 3
Direct
0.7103 0.4206 0.2891
0.2637 0.5275 0.6145
0.4217 0.8434 0.3151
0.0394 0.0789 0.1232
0.9824 0.9649 0.6054
0.7491 0.4982 0.8860



(21)
SbPt2 | Alexandria | meta-GGA SCAN | single point on PBEsol structure; symmetry = Pnnm (58); theoretical density = 16.14 g/cm³; ΔE_f (raw) = -0.191 eV/atom
1.0
-0.5996 -0.6556 -3.4188
3.6839 -0.1000 -0.6269
0.0418 -7.8353 1.4952
Pt Sb
4 2
Direct
0.0000 0.0870 0.6719
0.0000 0.9130 0.3281
0.5000 0.5870 0.8281
0.5000 0.4130 0.1719
0.0000 0.0000 0.0000
0.5000 0.5000 0.5000



(22)
SbPt | Alexandria | meta-GGA SCAN | single point on PBEsol structure; symmetry = Cmcm (63); theoretical density = 11.68 g/cm³; ΔE_f (raw) = -0.442 eV/atom
1.0
4.7163 -0.4012 0.0000
-2.5560 3.9839 0.0000
0.0000 0.0000 5.0705
Sb Pt
2 2
Direct
0.2139 0.7861 0.7500
0.7861 0.2139 0.2500
0.9042 0.0958 0.7500
0.0958 0.9042 0.2500



(23)
SbPt2 | Alexandria | meta-GGA SCAN | single point on PBEsol structure; symmetry = I4/mmm (139); theoretical density = 16.37 g/cm³; ΔE_f (raw) = -0.145 eV/atom
1.0
-0.3648 -2.4963 -2.5589
2.9924 1.1940 -1.5914
0.8749 -1.9142 4.2658
Pt Sb
2 1
Direct
0.8281 0.8281 0.6561
0.1719 0.1719 0.3439
0.5000 0.5000 0.0000



(24)
SbPt | Alexandria | meta-GGA SCAN | single point on PBEsol structure; symmetry = R-3m (166); theoretical density = 12.08 g/cm³; ΔE_f (raw) = -0.404 eV/atom
1.0
3.9162 0.0000 0.0000
1.9581 3.3915 0.0000
1.9581 1.1305 6.5573
Pt Sb
2 2
Direct
0.3703 0.3703 0.8892
0.6297 0.6297 0.1108
0.1028 0.1028 0.6915
0.8972 0.8972 0.3085



(25)
SbPt | Alexandria | meta-GGA SCAN | single point on PBEsol structure; symmetry = P6_3/mmc (194); theoretical density = 12.81 g/cm³; ΔE_f (raw) = -0.508 eV/atom
1.0
-0.4309 -1.3570 -3.9131
0.9623 -2.6794 3.0388
-5.3214 -0.8947 0.8963
Sb Pt
2 2
Direct
0.6667 0.3333 0.7500
0.3333 0.6667 0.2500
0.0000 0.0000 0.0000
0.0000 0.0000 0.5000



(26)
Sb2Pt3 | Alexandria | meta-GGA SCAN | single point on PBEsol structure; symmetry = Ibam (72); theoretical density = 14.59 g/cm³; ΔE_f (raw) = -0.417 eV/atom
1.0
5.3167 0.0000 0.0000
0.0000 6.4621 0.0000
-2.6583 -3.2311 5.4909
Pt Sb
6 4
Direct
0.2500 0.0000 0.0000
0.7500 0.0000 0.0000
0.1076 0.4781 0.2151
0.8924 0.5219 0.7849
0.6076 0.7370 0.2151
0.3924 0.2630 0.7849
0.3432 0.6052 0.6864
0.6568 0.3948 0.3136
0.8432 0.0812 0.6864
0.1568 0.9188 0.3136



(27)
SbPt2 | Alexandria | meta-GGA SCAN | single point on PBEsol structure; symmetry = C2/m (12); theoretical density = 15.64 g/cm³; ΔE_f (raw) = -0.258 eV/atom
1.0
3.6078 0.0000 0.0000
1.8039 5.2233 -0.0290
1.8039 0.7203 5.7642
Sb Pt
2 4
Direct
0.9299 0.8281 0.3122
0.0701 0.1719 0.6878
0.3337 0.6764 0.6562
0.6340 0.7267 0.0053
0.6663 0.3236 0.3438
0.3660 0.2733 0.9947



(28)
ScSb2Pt | Alexandria | meta-GGA SCAN | single point on PBEsol structure; symmetry = Fm-3m (225); theoretical density = 9.83 g/cm³; polymorph energy (0 for the lowest one) = 0.285 eV/atom; ΔE_f (raw) = -0.273 eV/atom
1.0
-0.9914 4.7490 0.4362
-3.0759 1.5391 3.4490
1.6846 2.4982 3.8271
Pt Sb Sc
1 2 1
Direct
0.0000 0.0000 0.0000
0.7500 0.7500 0.7500
0.2500 0.2500 0.2500
0.5000 0.5000 0.5000



(29)
ScSb2Pt | Alexandria | meta-GGA SCAN | single point on PBEsol structure; symmetry = I-4m2 (119); theoretical density = 9.99 g/cm³; polymorph energy (0 for the lowest one) = 0.000 eV/atom; ΔE_f (raw) = -0.558 eV/atom
1.0
-2.3944 -1.4769 2.9305
3.0388 0.3716 2.6701
-1.8076 5.0683 -1.7382
Pt Sb Sc
1 2 1
Direct
0.2500 0.7500 0.5000
0.0000 0.0000 0.0000
0.7500 0.2500 0.5000
0.5000 0.5000 0.0000